1.
First-principles (PBE-GGA) data for an optimized crystal structure of Sm2Th4Bi3N2, as listed in Alexandria via LeMat-Bulk.

## Properties
SG = I4/mmm, No. 139
Total moment = 0.0 μB per formula unit
Formation energy without anion corrections = -870.2 meV/atom
Final energy = -7.00 eV/atom

Lattice parameters (Å, degrees): 14.0540 14.0540 14.0540 160.46 160.46 27.77
Fractional coordinates of all 11 atoms:
Sm 0.1972 0.1972 0.0000
Sm 0.8028 0.8028 0.0000
Th 0.0876 0.5876 0.5000
Th 0.4124 0.9124 0.5000
Th 0.5876 0.0876 0.5000
Th 0.9124 0.4124 0.5000
Bi 0.3189 0.3189 0.0000
Bi 0.5000 0.5000 0.0000
Bi 0.6811 0.6811 0.0000
N 0.1063 0.1063 0.0000
N 0.8937 0.8937 0.0000

***

2.
First-principles (PBE-GGA) data for an optimized crystal structure of SbPPb2, as listed in Alexandria via LeMat-Bulk.

## Properties
SG = I-42d, No. 122
Total moment = 0.0 μB per formula unit
Formation energy without anion corrections = 273.3 meV/atom
Final energy = -3.96 eV/atom
Offset from the most stable computed form = 0.157 eV per atom

Lattice parameters (Å, degrees): 7.8646 7.8646 7.8646 127.19 127.19 77.93
Fractional coordinates of all 8 atoms:
Sb 0.0000 0.0000 0.0000
Sb 0.7500 0.2500 0.5000
P 0.2500 0.7500 0.5000
P 0.5000 0.5000 0.0000
Pb 0.1572 0.6250 0.0322
Pb 0.3750 0.4072 0.5322
Pb 0.5928 0.1250 0.9678
Pb 0.8750 0.8428 0.4678